# 1
A plane-wave DFT calculation with PBE-GGA was carried out for crystalline NbFeAsPt at its relaxed geometry. Values from VASP.

```
&SYSTEM
  ibrav = 0, nat = 4, ntyp = 4
/
ATOMIC_SPECIES
Nb 92.91 Nb.upf
Fe 55.84 Fe.upf
As 74.92 As.upf
Pt 195.08 Pt.upf
ATOMIC_POSITIONS crystal
Nb 0.000 0.000 0.000
Fe 0.500 0.500 0.500
As 0.250 0.250 0.250
Pt 0.750 0.750 0.750
CELL_PARAMETERS angstrom
0.000 3.139 3.139
3.139 0.000 3.139
3.139 3.139 0.000
```

## Properties
- Energy above the most stable polymorph in this dataset: 0.00 kJ/mol of atoms
- Uncorrected energy: -7.437 eV/atom

# 2
A plane-wave DFT calculation with PBE-GGA was carried out for crystalline Nb2Fe2SbAs at its relaxed geometry. Values from VASP.

```
&SYSTEM
  ibrav = 0, nat = 24, ntyp = 4
/
ATOMIC_SPECIES
Nb 92.91 Nb.upf
Fe 55.84 Fe.upf
Sb 121.76 Sb.upf
As 74.92 As.upf
ATOMIC_POSITIONS crystal
Nb 0.000 0.000 0.000
Nb 0.041 0.500 0.456
Nb 0.268 0.000 0.886
Nb 0.438 0.500 0.229
Nb 0.501 0.500 0.927
Nb 0.578 0.000 0.549
Nb 0.673 0.000 0.304
Nb 0.803 0.500 0.658
Fe 0.124 0.500 0.192
Fe 0.193 0.000 0.597
Fe 0.247 0.500 0.010
Fe 0.404 0.000 0.341
Fe 0.565 0.500 0.694
Fe 0.736 0.000 0.063
Fe 0.756 0.500 0.424
Fe 0.952 0.000 0.764
Sb 0.113 0.500 0.740
Sb 0.343 0.500 0.476
Sb 0.790 0.500 0.911
Sb 0.972 0.000 0.252
As 0.261 0.000 0.133
As 0.457 0.000 0.753
As 0.678 0.500 0.151
As 0.883 0.000 0.524
CELL_PARAMETERS angstrom
9.660 0.000 0.000
0.000 4.071 0.000
-2.668 0.000 10.519
```

## Properties
- Uncorrected energy: -7.566 eV/atom

# 3
A plane-wave DFT calculation with PBE-GGA was carried out for crystalline TaNbFeAs at its relaxed geometry. Values from VASP.

```
&SYSTEM
  ibrav = 0, nat = 4, ntyp = 4
/
ATOMIC_SPECIES
Ta 180.95 Ta.upf
Nb 92.91 Nb.upf
Fe 55.84 Fe.upf
As 74.92 As.upf
ATOMIC_POSITIONS crystal
Ta 0.000 0.000 0.000
Nb 0.250 0.250 0.250
Fe 0.750 0.750 0.750
As 0.500 0.500 0.500
CELL_PARAMETERS angstrom
0.000 3.135 3.135
3.135 0.000 3.135
3.135 3.135 0.000
```

## Properties
- Energy above the most stable polymorph in this dataset: 0.00 kJ/mol of atoms
- Uncorrected energy: -8.542 eV/atom

# 4
A plane-wave DFT calculation with PBE-GGA was carried out for crystalline TaNbFe2As2 at its relaxed geometry. Values from VASP.

```
&SYSTEM
  ibrav = 0, nat = 24, ntyp = 4
/
ATOMIC_SPECIES
Ta 180.95 Ta.upf
Nb 92.91 Nb.upf
Fe 55.84 Fe.upf
As 74.92 As.upf
ATOMIC_POSITIONS crystal
Ta 0.000 0.000 0.000
Ta 0.127 0.500 0.750
Ta 0.502 0.000 0.001
Ta 0.750 0.000 0.500
Nb 0.252 0.000 0.500
Nb 0.375 0.500 0.250
Nb 0.625 0.500 0.750
Nb 0.877 0.500 0.251
Fe 0.125 0.000 0.249
Fe 0.251 0.500 0.999
Fe 0.373 0.000 0.751
Fe 0.504 0.500 0.500
Fe 0.627 0.000 0.251
Fe 0.751 0.500 0.000
Fe 0.880 0.000 0.751
Fe 0.999 0.500 0.502
As 0.063 0.500 0.124
As 0.189 0.000 0.876
As 0.313 0.500 0.624
As 0.439 0.000 0.375
As 0.564 0.500 0.126
As 0.688 0.000 0.875
As 0.814 0.500 0.626
As 0.938 0.000 0.376
CELL_PARAMETERS angstrom
8.302 0.000 0.000
0.000 4.149 0.000
-4.147 0.000 11.744
```

## Properties
- Uncorrected energy: -7.826 eV/atom

# 5
A plane-wave DFT calculation with PBE-GGA was carried out for crystalline NbFeTcAs at its relaxed geometry. Values from VASP.

```
&SYSTEM
  ibrav = 0, nat = 4, ntyp = 4
/
ATOMIC_SPECIES
Nb 92.91 Nb.upf
Fe 55.84 Fe.upf
Tc 98.00 Tc.upf
As 74.92 As.upf
ATOMIC_POSITIONS crystal
Nb 0.000 0.000 0.000
Fe 0.750 0.750 0.750
Tc 0.250 0.250 0.250
As 0.500 0.500 0.500
CELL_PARAMETERS angstrom
0.000 3.062 3.062
3.062 0.000 3.062
3.062 3.062 0.000
```

## Properties
- Energy above the most stable polymorph in this dataset: 0.00 kJ/mol of atoms
- Uncorrected energy: -8.363 eV/atom

# 6
A plane-wave DFT calculation with PBE-GGA was carried out for crystalline NbFeAsW at its relaxed geometry. Values from VASP.

```
&SYSTEM
  ibrav = 0, nat = 4, ntyp = 4
/
ATOMIC_SPECIES
Nb 92.91 Nb.upf
Fe 55.84 Fe.upf
As 74.92 As.upf
W 183.84 W.upf
ATOMIC_POSITIONS crystal
Nb 0.000 0.000 0.000
Fe 0.750 0.750 0.750
As 0.500 0.500 0.500
W 0.250 0.250 0.250
CELL_PARAMETERS angstrom
0.000 3.095 3.095
3.095 0.000 3.095
3.095 3.095 0.000
```

## Properties
- Energy above the most stable polymorph in this dataset: 0.00 kJ/mol of atoms
- Uncorrected energy: -8.714 eV/atom

# 7
A plane-wave DFT calculation with PBE-GGA was carried out for crystalline YNbFeAs at its relaxed geometry. Values from VASP.

```
&SYSTEM
  ibrav = 0, nat = 4, ntyp = 4
/
ATOMIC_SPECIES
Y 88.91 Y.upf
Nb 92.91 Nb.upf
Fe 55.84 Fe.upf
As 74.92 As.upf
ATOMIC_POSITIONS crystal
Y 0.000 0.000 0.000
Nb 0.750 0.750 0.750
Fe 0.500 0.500 0.500
As 0.250 0.250 0.250
CELL_PARAMETERS angstrom
0.000 3.267 3.267
3.267 0.000 3.267
3.267 3.267 0.000
```

## Properties
- Energy above the most stable polymorph in this dataset: 5.95 kJ/mol of atoms
- Uncorrected energy: -7.039 eV/atom

# 8
A plane-wave DFT calculation with PBE-GGA was carried out for crystalline YNbFeAs at its relaxed geometry. Values from VASP.

```
&SYSTEM
  ibrav = 0, nat = 4, ntyp = 4
/
ATOMIC_SPECIES
Y 88.91 Y.upf
Nb 92.91 Nb.upf
Fe 55.84 Fe.upf
As 74.92 As.upf
ATOMIC_POSITIONS crystal
Y 0.000 0.000 0.000
Nb 0.250 0.250 0.250
Fe 0.750 0.750 0.750
As 0.500 0.500 0.500
CELL_PARAMETERS angstrom
0.000 3.245 3.245
3.245 0.000 3.245
3.245 3.245 0.000
```

## Properties
- Energy above the most stable polymorph in this dataset: 0.00 kJ/mol of atoms
- Uncorrected energy: -7.101 eV/atom

# 9
A plane-wave DFT calculation with PBE-GGA was carried out for crystalline ZrNbFeAs at its relaxed geometry. Values from VASP.

```
&SYSTEM
  ibrav = 0, nat = 4, ntyp = 4
/
ATOMIC_SPECIES
Zr 91.22 Zr.upf
Nb 92.91 Nb.upf
Fe 55.84 Fe.upf
As 74.92 As.upf
ATOMIC_POSITIONS crystal
Zr 0.000 0.000 0.000
Nb 0.250 0.250 0.250
Fe 0.750 0.750 0.750
As 0.500 0.500 0.500
CELL_PARAMETERS angstrom
0.000 3.186 3.186
3.186 0.000 3.186
3.186 3.186 0.000
```

## Properties
- Energy above the most stable polymorph in this dataset: 0.00 kJ/mol of atoms
- Uncorrected energy: -7.802 eV/atom

# 10
A plane-wave DFT calculation with PBE-GGA was carried out for crystalline FeNiAs at its relaxed geometry. Values from VASP.

```
&SYSTEM
  ibrav = 0, nat = 9, ntyp = 3
/
ATOMIC_SPECIES
Fe 55.84 Fe.upf
Ni 58.69 Ni.upf
As 74.92 As.upf
ATOMIC_POSITIONS crystal
Fe 0.000 0.258 0.000
Fe 0.258 0.000 0.000
Fe 0.742 0.742 0.000
Ni 0.000 0.599 0.500
Ni 0.401 0.401 0.500
Ni 0.599 0.000 0.500
As 0.000 0.000 0.500
As 0.333 0.667 0.000
As 0.667 0.333 0.000
CELL_PARAMETERS angstrom
6.058 0.000 0.000
-3.029 5.246 0.000
0.000 0.000 3.484
```

## Properties
- Uncorrected energy: -6.318 eV/atom

# 11
A plane-wave DFT calculation with PBE-GGA was carried out for crystalline FeNiAs2 at its relaxed geometry. Values from VASP.

```
&SYSTEM
  ibrav = 0, nat = 16, ntyp = 3
/
ATOMIC_SPECIES
Fe 55.84 Fe.upf
Ni 58.69 Ni.upf
As 74.92 As.upf
ATOMIC_POSITIONS crystal
Fe 0.007 0.250 0.162
Fe 0.493 0.750 0.662
Fe 0.507 0.250 0.338
Fe 0.993 0.750 0.838
Ni 0.016 0.250 0.410
Ni 0.484 0.750 0.910
Ni 0.516 0.250 0.090
Ni 0.984 0.750 0.590
As 0.163 0.250 0.702
As 0.191 0.250 0.963
As 0.309 0.750 0.463
As 0.337 0.750 0.202
As 0.663 0.250 0.798
As 0.691 0.250 0.537
As 0.809 0.750 0.037
As 0.837 0.750 0.298
CELL_PARAMETERS angstrom
5.631 0.000 0.000
0.000 3.382 0.000
0.000 0.000 11.950
```

## Properties
- Energy above the most stable polymorph in this dataset: 0.00 kJ/mol of atoms
- Uncorrected energy: -5.871 eV/atom

# 12
A plane-wave DFT calculation with PBE-GGA was carried out for crystalline FeNiAs at its relaxed geometry. Values from VASP.

```
&SYSTEM
  ibrav = 0, nat = 9, ntyp = 3
/
ATOMIC_SPECIES
Fe 55.84 Fe.upf
Ni 58.69 Ni.upf
As 74.92 As.upf
ATOMIC_POSITIONS crystal
Fe 0.000 0.620 0.000
Fe 0.380 0.380 0.000
Fe 0.620 0.000 0.000
Ni 0.000 0.000 0.000
Ni 0.333 0.667 0.500
Ni 0.667 0.333 0.500
As 0.000 0.293 0.500
As 0.293 0.000 0.500
As 0.707 0.707 0.500
CELL_PARAMETERS angstrom
6.541 0.000 0.000
-3.271 5.665 0.000
0.000 0.000 3.173
```

## Properties
- Uncorrected energy: -6.159 eV/atom